# TaCdP2 | Alexandria | SCAN | PBEsol geometry
data_TaCdP2
_chemical_formula_sum 'Ta2 Cd2 P4'
_symmetry_space_group_name_H-M 'C 1 m 1'
_symmetry_Int_Tables_number 8
_cell_length_a 12.684
_cell_length_b 3.295
_cell_length_c 3.549
_cell_angle_alpha 90.00
_cell_angle_beta 90.18
_cell_angle_gamma 90.00
loop_
_symmetry_equiv_pos_as_xyz
'x,y,z'
'x,-y,z'
'x+1/2,y+1/2,z'
'x+1/2,-y+1/2,z'
loop_
_atom_site_label
_atom_site_type_symbol
_atom_site_fract_x
_atom_site_fract_y
_atom_site_fract_z
Ta1 Ta 0.000 0.000 0.000
Cd1 Cd 0.228 0.000 0.503
P1 P 0.146 0.500 0.002
P2 P 0.430 0.000 0.499
# Crystal system   monoclinic
# ΔE_f   -202 meV/atom

# Zr2FeRh | Alexandria | SCAN | PBEsol geometry
data_Zr2FeRh
_chemical_formula_sum 'Zr2 Fe1 Rh1'
_symmetry_space_group_name_H-M 'P 4/m m m'
_symmetry_Int_Tables_number 123
_symmetry_space_group_name_Hall '-P 4 2'
_cell_length_a 4.499
_cell_length_b 4.499
_cell_length_c 3.219
_cell_angle_alpha 90.00
_cell_angle_beta 90.00
_cell_angle_gamma 90.00
loop_
_atom_site_label
_atom_site_type_symbol
_atom_site_fract_x
_atom_site_fract_y
_atom_site_fract_z
Zr1 Zr 0.000 0.500 0.000
Fe1 Fe 0.000 0.000 0.500
Rh1 Rh 0.500 0.500 0.500
# Crystal system   tetragonal
# ΔE_f   -556 meV/atom